# CdH6C2O7 (PBE, optimized geometry)
data_CdH6C2O7
_cell_length_a 5.9657
_cell_length_b 6.4054
_cell_length_c 8.2283
_cell_angle_alpha 73.71
_cell_angle_beta 72.36
_cell_angle_gamma 79.39
_symmetry_space_group_name_H-M 'P 1'
_symmetry_Int_Tables_number 1
loop_
_symmetry_equiv_pos_as_xyz
'x,y,z'
loop_
_atom_site_label
_atom_site_type_symbol
_atom_site_fract_x
_atom_site_fract_y
_atom_site_fract_z
_atom_site_occupancy
Cd1 Cd 0.0000 0.0000 0.0000 1
Cd2 Cd 0.0953 0.5675 0.4116 1
H1 H 0.0038 0.4104 0.0596 1
H2 H 0.0998 0.1678 0.3331 1
H3 H 0.2933 0.2946 0.7658 1
H4 H 0.3412 0.1694 0.3743 1
H5 H 0.4309 0.5744 0.9478 1
H6 H 0.4352 0.0421 0.6227 1
H7 H 0.4549 0.1165 0.8835 1
H8 H 0.6393 0.4540 0.5311 1
H9 H 0.6521 0.5178 0.8003 1
H10 H 0.6547 0.9757 0.4784 1
H11 H 0.7524 0.3890 0.0483 1
H12 H 0.8016 0.2746 0.6463 1
C1 C 0.1045 0.6768 0.7560 1
C2 C 0.4805 0.8698 0.1457 1
C3 C 0.6151 0.6997 0.2657 1
C4 C 0.9891 0.8898 0.6547 1
O1 O 0.1322 0.6719 0.9039 1
O2 O 0.1617 0.5165 0.6856 1
O3 O 0.2239 0.2625 0.3083 1
O4 O 0.2685 0.8399 0.1670 1
O5 O 0.3474 0.1345 0.8055 1
O6 O 0.4806 0.0000 0.5075 1
O7 O 0.5088 0.5442 0.3743 1
O8 O 0.5870 0.0253 0.0369 1
O9 O 0.6048 0.5544 0.9174 1
O10 O 0.7463 0.4348 0.6092 1
O11 O 0.8266 0.7303 0.2452 1
O12 O 0.8838 0.3066 0.1036 1
O13 O 0.9339 0.0503 0.7252 1
O14 O 0.9573 0.8934 0.5087 1
# mass density: 2.96 g/cm3
# energy: -183.00 eV/cell

# KTcMo (PBE, optimized geometry)
data_KTcMo
_cell_length_a 6.3654
_cell_length_b 6.3654
_cell_length_c 6.3654
_cell_angle_alpha 90.00
_cell_angle_beta 90.00
_cell_angle_gamma 90.00
_symmetry_space_group_name_H-M 'F -4 3 m'
_symmetry_Int_Tables_number 216
_symmetry_space_group_name_Hall 'F -4 2 3'
loop_
_atom_site_label
_atom_site_type_symbol
_atom_site_fract_x
_atom_site_fract_y
_atom_site_fract_z
_atom_site_occupancy
K1 K 0.0000 0.0000 0.0000 1
Tc1 Tc 0.2500 0.2500 0.7500 1
Mo1 Mo 0.0000 0.0000 0.5000 1
# mass density: 6.00 g/cm3
# energy: -66.77 eV/cell

# KFe2Se2 (PBE, optimized geometry)
data_KFe2Se2
_cell_length_a 3.7793
_cell_length_b 3.7793
_cell_length_c 14.4178
_cell_angle_alpha 90.00
_cell_angle_beta 90.00
_cell_angle_gamma 90.00
_symmetry_space_group_name_H-M 'I 4/m m m'
_symmetry_Int_Tables_number 139
_symmetry_space_group_name_Hall '-I 4 2'
loop_
_atom_site_label
_atom_site_type_symbol
_atom_site_fract_x
_atom_site_fract_y
_atom_site_fract_z
_atom_site_occupancy
K1 K 0.0000 0.0000 0.0000 1
Fe1 Fe 0.0000 0.5000 0.2500 1
Se1 Se 0.0000 0.0000 0.3616 1
# mass density: 4.98 g/cm3
# energy: -54.37 eV/cell

# FeMoOsPb (PBE, optimized geometry)
data_FeMoOsPb
_cell_length_a 6.3826
_cell_length_b 6.3826
_cell_length_c 6.3826
_cell_angle_alpha 90.00
_cell_angle_beta 90.00
_cell_angle_gamma 90.00
_symmetry_space_group_name_H-M 'F -4 3 m'
_symmetry_Int_Tables_number 216
_symmetry_space_group_name_Hall 'F -4 2 3'
loop_
_atom_site_label
_atom_site_type_symbol
_atom_site_fract_x
_atom_site_fract_y
_atom_site_fract_z
_atom_site_occupancy
Fe1 Fe 0.0000 0.0000 0.0000 1
Mo1 Mo 0.2500 0.2500 0.2500 1
Os1 Os 0.0000 0.0000 0.5000 1
Pb1 Pb 0.2500 0.2500 0.7500 1
# mass density: 14.03 g/cm3
# energy: -125.61 eV/cell

# KTbZnTe3 (PBE, optimized geometry)
data_KTbZnTe3
_cell_length_a 20.1797
_cell_length_b 4.4844
_cell_length_c 9.2344
_cell_angle_alpha 90.00
_cell_angle_beta 101.73
_cell_angle_gamma 90.00
_symmetry_space_group_name_H-M 'C 1 2/m 1'
_symmetry_Int_Tables_number 12
loop_
_symmetry_equiv_pos_as_xyz
'x,y,z'
'-x,-y,-z'
'-x,y,-z'
'x,-y,z'
'x+1/2,y+1/2,z'
'-x+1/2,-y+1/2,-z'
'-x+1/2,y+1/2,-z'
'x+1/2,-y+1/2,z'
loop_
_atom_site_label
_atom_site_type_symbol
_atom_site_fract_x
_atom_site_fract_y
_atom_site_fract_z
_atom_site_occupancy
K1 K 0.1348 0.0000 0.0633 1
Tb1 Tb 0.1704 0.0000 0.5681 1
Zn1 Zn 0.0342 0.5000 0.7283 1
Te1 Te 0.0000 0.0000 0.5000 1
Te2 Te 0.0000 0.5000 0.0000 1
Te3 Te 0.1677 0.5000 0.7969 1
Te4 Te 0.1753 0.5000 0.3472 1
# mass density: 5.25 g/cm3
# energy: -87.78 eV/cell

# Ge2SbAu (PBE, optimized geometry)
data_Ge2SbAu
_cell_length_a 6.9672
_cell_length_b 6.9672
_cell_length_c 6.9672
_cell_angle_alpha 90.00
_cell_angle_beta 90.00
_cell_angle_gamma 90.00
_symmetry_space_group_name_H-M 'F -4 3 m'
_symmetry_Int_Tables_number 216
_symmetry_space_group_name_Hall 'F -4 2 3'
loop_
_atom_site_label
_atom_site_type_symbol
_atom_site_fract_x
_atom_site_fract_y
_atom_site_fract_z
_atom_site_occupancy
Ge1 Ge 0.0000 0.0000 0.0000 1
Ge2 Ge 0.2500 0.2500 0.2500 1
Sb1 Sb 0.0000 0.0000 0.5000 1
Au1 Au 0.2500 0.2500 0.7500 1
# mass density: 9.11 g/cm3
# energy: -62.25 eV/cell

# BaTbCuTeS2 (PBE, optimized geometry)
data_BaTbCuTeS2
_cell_length_a 4.1085
_cell_length_b 14.7380
_cell_length_c 11.0042
_cell_angle_alpha 90.00
_cell_angle_beta 90.00
_cell_angle_gamma 90.00
_symmetry_space_group_name_H-M 'C m c m'
_symmetry_Int_Tables_number 63
_symmetry_space_group_name_Hall '-C 2c 2'
loop_
_atom_site_label
_atom_site_type_symbol
_atom_site_fract_x
_atom_site_fract_y
_atom_site_fract_z
_atom_site_occupancy
Ba1 Ba 0.0000 0.2174 0.2500 1
Tb1 Tb 0.0000 0.0000 0.0000 1
Cu1 Cu 0.0000 0.4783 0.7500 1
Te1 Te 0.0000 0.0926 0.7500 1
S1 S 0.0000 0.3858 0.5769 1
# mass density: 5.50 g/cm3
# energy: -122.99 eV/cell

# Li3Nd2NbN4 (PBE, optimized geometry)
data_Li3Nd2NbN4
_cell_length_a 10.0147
_cell_length_b 5.6207
_cell_length_c 10.5614
_cell_angle_alpha 90.00
_cell_angle_beta 114.60
_cell_angle_gamma 90.00
_symmetry_space_group_name_H-M 'C 1 2/c 1'
_symmetry_Int_Tables_number 15
loop_
_symmetry_equiv_pos_as_xyz
'x,y,z'
'-x,-y,-z'
'-x,y,-z+1/2'
'x,-y,z+1/2'
'x+1/2,y+1/2,z'
'-x+1/2,-y+1/2,-z'
'-x+1/2,y+1/2,-z+1/2'
'x+1/2,-y+1/2,z+1/2'
loop_
_atom_site_label
_atom_site_type_symbol
_atom_site_fract_x
_atom_site_fract_y
_atom_site_fract_z
_atom_site_occupancy
Li1 Li 0.0000 0.1178 0.2500 1
Li2 Li 0.1164 0.0048 0.5919 1
Nd1 Nd 0.2017 0.4995 0.0818 1
Nb1 Nb 0.0000 0.4042 0.7500 1
N1 N 0.0592 0.1867 0.9163 1
N2 N 0.1728 0.3724 0.3119 1
# mass density: 5.63 g/cm3
# energy: -266.62 eV/cell

# SrNdSn2 (PBE, optimized geometry)
data_SrNdSn2
_cell_length_a 4.4970
_cell_length_b 28.4043
_cell_length_c 4.4883
_cell_angle_alpha 90.00
_cell_angle_beta 90.00
_cell_angle_gamma 90.00
_symmetry_space_group_name_H-M 'C m c m'
_symmetry_Int_Tables_number 63
_symmetry_space_group_name_Hall '-C 2c 2'
loop_
_atom_site_label
_atom_site_type_symbol
_atom_site_fract_x
_atom_site_fract_y
_atom_site_fract_z
_atom_site_occupancy
Sr1 Sr 0.0000 0.1572 0.2500 1
Nd1 Nd 0.0000 0.4469 0.2500 1
Sn1 Sn 0.0000 0.0400 0.2500 1
Sn2 Sn 0.0000 0.2462 0.7500 1
# mass density: 5.44 g/cm3
# energy: -64.50 eV/cell

# FeNiSn (PBE, optimized geometry)
data_FeNiSn
_cell_length_a 7.1968
_cell_length_b 7.1968
_cell_length_c 2.9445
_cell_angle_alpha 90.00
_cell_angle_beta 90.00
_cell_angle_gamma 120.00
_symmetry_space_group_name_H-M 'P -6 2 m'
_symmetry_Int_Tables_number 189
_symmetry_space_group_name_Hall 'P -6 -2'
loop_
_atom_site_label
_atom_site_type_symbol
_atom_site_fract_x
_atom_site_fract_y
_atom_site_fract_z
_atom_site_occupancy
Fe1 Fe 0.0000 0.6261 0.0000 1
Ni1 Ni 0.0000 0.0000 0.0000 1
Ni2 Ni 0.3333 0.6667 0.5000 1
Sn1 Sn 0.0000 0.2962 0.5000 1
# mass density: 8.80 g/cm3
# energy: -52.63 eV/cell

# BaBiAu (PBE, optimized geometry)
data_BaBiAu
_cell_length_a 5.4122
_cell_length_b 5.4122
_cell_length_c 7.2399
_cell_angle_alpha 90.00
_cell_angle_beta 90.00
_cell_angle_gamma 120.00
_symmetry_space_group_name_H-M 'P 63/m m c'
_symmetry_Int_Tables_number 194
_symmetry_space_group_name_Hall '-P 6c 2c'
loop_
_atom_site_label
_atom_site_type_symbol
_atom_site_fract_x
_atom_site_fract_y
_atom_site_fract_z
_atom_site_occupancy
Ba1 Ba 0.3333 0.6667 0.2500 1
Bi1 Bi 0.3333 0.6667 0.7500 1
Au1 Au 0.0000 0.0000 0.0000 1
# mass density: 9.82 g/cm3
# energy: -19.73 eV/cell

# AlRe3 (PBE, optimized geometry)
data_AlRe3
_cell_length_a 4.3583
_cell_length_b 4.3583
_cell_length_c 6.1559
_cell_angle_alpha 90.00
_cell_angle_beta 90.00
_cell_angle_gamma 90.00
_symmetry_space_group_name_H-M 'I 4/m m m'
_symmetry_Int_Tables_number 139
_symmetry_space_group_name_Hall '-I 4 2'
loop_
_atom_site_label
_atom_site_type_symbol
_atom_site_fract_x
_atom_site_fract_y
_atom_site_fract_z
_atom_site_occupancy
Al1 Al 0.0000 0.0000 0.0000 1
Re1 Re 0.0000 0.0000 0.5000 1
Re2 Re 0.0000 0.5000 0.2500 1
# mass density: 16.63 g/cm3
# energy: -82.03 eV/cell